Material: Ti3NiSb2P6O24
Method: DFT, SCAN
State: single point on PBEsol structure

## Properties
Raw total energy: -437.9 eV/cell
Formation energy (no corrections): -2.422 eV/atom

Cell lengths 8.8509, 8.8509, 8.8509 Å; angles 57.97, 57.97, 57.97 degrees
With the nearest neighbours (Å) after each atom.
Positions (direct):
1 Ti 0.0000 0.0000 0.0000  6 O 1.89-2.04
2 Ti 0.2062 0.2062 0.2062  6 O 1.97-2.00
3 Ti 0.7019 0.7019 0.7019  6 O 1.92-2.05
4 Ni 0.5023 0.5023 0.5023  6 O 1.94-2.16
5 Sb 0.3662 0.3662 0.3662  3 O 2.09
6 Sb 0.8585 0.8585 0.8585  3 O 2.25
7 P 0.0979 0.8110 0.3922  4 O 1.52-1.57
8 P 0.3062 0.6007 0.8853  4 O 1.50-1.59
9 P 0.3922 0.0979 0.8110  4 O 1.52-1.57
10 P 0.6007 0.8853 0.3062  4 O 1.50-1.59
11 P 0.8110 0.3922 0.0979  4 O 1.52-1.57
12 P 0.8853 0.3062 0.6007  4 O 1.50-1.59
13 O 0.0423 0.8515 0.2341  1 P 1.53
14 O 0.0702 0.2973 0.4249  1 P 1.55
15 O 0.1084 0.7646 0.9347  1 P 1.59
16 O 0.1458 0.9706 0.3584  1 P 1.52
17 O 0.2341 0.0423 0.8515  1 P 1.53
18 O 0.2769 0.6232 0.3961  1 P 1.57
19 O 0.2973 0.4249 0.0702  1 P 1.55
20 O 0.3174 0.5812 0.7205  1 P 1.50
21 O 0.3584 0.1458 0.9706  1 P 1.52
22 O 0.3961 0.2769 0.6232  1 P 1.57
23 O 0.4249 0.0702 0.2973  1 P 1.55
24 O 0.4654 0.6553 0.8476  1 P 1.54
25 O 0.5812 0.7205 0.3174  1 P 1.50
26 O 0.5850 0.9360 0.7745  1 P 1.54
27 O 0.6232 0.3961 0.2769  1 P 1.57
28 O 0.6553 0.8476 0.4654  1 P 1.54
29 O 0.7205 0.3174 0.5812  1 P 1.50
30 O 0.7646 0.9347 0.1084  1 P 1.59
31 O 0.7745 0.5850 0.9360  1 P 1.54
32 O 0.8476 0.4654 0.6553  1 P 1.54
33 O 0.8515 0.2341 0.0423  1 P 1.53
34 O 0.9347 0.1084 0.7646  1 P 1.59
35 O 0.9360 0.7745 0.5850  1 P 1.54
36 O 0.9706 0.3584 0.1458  1 P 1.52